Ca2Cu5Pd2Au (PBE, optimized geometry); DFT total energy = -4.0580 eV/atom; space-group type = No. 127; Fermi-level density of states = 0.303 states/eV/atom; total magnetic moment = 0.000 μB/f.u.; energy relative to the elements = -0.24 eV per atom
1.0
9.274 0.000 0.000
0.000 9.274 0.000
0.000 0.000 3.954
Ca Cu Pd Au
4 10 4 2
direct
0.176 0.324 0.000
0.324 0.824 0.000
0.676 0.176 0.000
0.824 0.676 0.000
0.000 0.500 0.500
0.058 0.802 0.500
0.198 0.058 0.500
0.302 0.558 0.500
0.442 0.302 0.500
0.500 0.000 0.500
0.558 0.698 0.500
0.698 0.442 0.500
0.802 0.942 0.500
0.942 0.198 0.500
0.123 0.623 0.000
0.377 0.123 0.000
0.623 0.877 0.000
0.877 0.377 0.000
0.000 0.000 0.000
0.500 0.500 0.000

CaPrCuAu (PBE, optimized geometry); DFT total energy = -4.0056 eV/atom; space-group type = No. 216; Fermi-level density of states = 0.442 states/eV/atom; total magnetic moment = 0.000 μB/f.u.; energy relative to the elements = -0.47 eV per atom
1.0
0.000 3.641 3.641
3.641 0.000 3.641
3.641 3.641 0.000
Ca Pr Cu Au
1 1 1 1
direct
0.000 0.000 0.000
0.500 0.500 0.500
0.750 0.750 0.750
0.250 0.250 0.250

Ca2CuPt2Au5 (PBE, optimized geometry); DFT total energy = -4.1011 eV/atom; space-group type = No. 127; Fermi-level density of states = 0.312 states/eV/atom; total magnetic moment = 0.000 μB/f.u.; energy relative to the elements = -0.44 eV per atom
1.0
9.813 0.000 0.000
0.000 9.813 0.000
0.000 0.000 4.122
Ca Cu Pt Au
4 2 4 10
direct
0.170 0.330 0.000
0.330 0.830 0.000
0.670 0.170 0.000
0.830 0.670 0.000
0.000 0.000 0.000
0.500 0.500 0.000
0.129 0.629 0.000
0.371 0.129 0.000
0.629 0.871 0.000
0.871 0.371 0.000
0.000 0.500 0.500
0.064 0.807 0.500
0.193 0.064 0.500
0.307 0.564 0.500
0.436 0.307 0.500
0.500 0.000 0.500
0.564 0.693 0.500
0.693 0.436 0.500
0.807 0.936 0.500
0.936 0.193 0.500

Ca2Cu3PtAu12 (PBE, optimized geometry); DFT total energy = -3.3880 eV/atom; space-group type = No. 166; Fermi-level density of states = 0.174 states/eV/atom; total magnetic moment = 0.000 μB/f.u.; energy relative to the elements = 0.04 eV per atom
1.0
4.152 2.397 6.842
-4.152 2.397 6.842
0.000 -4.794 6.842
Ca Cu Pt Au
2 3 1 12
direct
0.121 0.121 0.121
0.879 0.879 0.879
0.000 0.500 0.500
0.500 0.000 0.500
0.500 0.500 0.000
0.500 0.500 0.500
0.111 0.629 0.629
0.129 0.129 0.626
0.129 0.626 0.129
0.371 0.371 0.889
0.371 0.889 0.371
0.374 0.871 0.871
0.626 0.129 0.129
0.629 0.111 0.629
0.629 0.629 0.111
0.871 0.374 0.871
0.871 0.871 0.374
0.889 0.371 0.371

Ca2Cu5Rh2Au (PBE, optimized geometry); DFT total energy = -4.3719 eV/atom; space-group type = No. 127; Fermi-level density of states = 0.463 states/eV/atom; total magnetic moment = 0.000 μB/f.u.; energy relative to the elements = -0.13 eV per atom
1.0
9.236 0.000 0.000
0.000 9.236 0.000
0.000 0.000 3.899
Ca Cu Rh Au
4 10 4 2
direct
0.173 0.327 0.000
0.327 0.827 0.000
0.673 0.173 0.000
0.827 0.673 0.000
0.000 0.500 0.500
0.061 0.802 0.500
0.198 0.061 0.500
0.302 0.561 0.500
0.439 0.302 0.500
0.500 0.000 0.500
0.561 0.698 0.500
0.698 0.439 0.500
0.802 0.939 0.500
0.939 0.198 0.500
0.127 0.627 0.000
0.373 0.127 0.000
0.627 0.873 0.000
0.873 0.373 0.000
0.000 0.000 0.000
0.500 0.500 0.000

Ca2CuSbAu6 (PBE, optimized geometry); DFT total energy = -3.3644 eV/atom; formation energy from raw total energies = -0.18 eV/atom; space-group type = No. 225; Fermi-level density of states = 0.340 states/eV/atom; total magnetic moment = 0.000 μB/f.u.
1.0
0.000 5.035 5.035
5.035 0.000 5.035
5.035 5.035 0.000
Ca Cu Sb Au
2 1 1 6
direct
0.250 0.250 0.250
0.750 0.750 0.750
0.000 0.000 0.000
0.500 0.500 0.500
0.239 0.239 0.761
0.239 0.761 0.239
0.239 0.761 0.761
0.761 0.239 0.239
0.761 0.239 0.761
0.761 0.761 0.239

Ca2Cu3SbAu12 (PBE, optimized geometry); DFT total energy = -3.3915 eV/atom; formation energy from raw total energies = -0.07 eV/atom; space-group type = No. 166; Fermi-level density of states = 0.401 states/eV/atom; total magnetic moment = 0.000 μB/f.u.
1.0
3.407 1.967 9.758
-3.407 1.967 9.758
0.000 -3.934 9.758
Ca Cu Sb Au
2 3 1 12
direct
0.137 0.137 0.137
0.863 0.863 0.863
0.000 0.500 0.500
0.500 0.000 0.500
0.500 0.500 0.000
0.500 0.500 0.500
0.071 0.627 0.627
0.092 0.092 0.683
0.092 0.683 0.092
0.317 0.908 0.908
0.373 0.373 0.929
0.373 0.929 0.373
0.627 0.071 0.627
0.627 0.627 0.071
0.683 0.092 0.092
0.908 0.317 0.908
0.908 0.908 0.317
0.929 0.373 0.373

CaScCuAu (PBE, optimized geometry); DFT total energy = -4.3356 eV/atom; space-group type = No. 216; Fermi-level density of states = 0.936 states/eV/atom; total magnetic moment = 0.000 μB/f.u.; energy relative to the elements = -0.41 eV per atom
1.0
0.000 3.456 3.456
3.456 0.000 3.456
3.456 3.456 0.000
Ca Sc Cu Au
1 1 1 1
direct
0.000 0.000 0.000
0.500 0.500 0.500
0.750 0.750 0.750
0.250 0.250 0.250

Ca2CuSi3Au12 (PBE, optimized geometry); DFT total energy = -3.5894 eV/atom; formation energy from raw total energies = -0.05 eV/atom; space-group type = No. 166; Fermi-level density of states = 0.499 states/eV/atom; total magnetic moment = 0.000 μB/f.u.
1.0
4.350 2.511 6.248
-4.350 2.511 6.248
0.000 -5.022 6.248
Ca Cu Si Au
2 1 3 12
direct
0.109 0.109 0.109
0.891 0.891 0.891
0.500 0.500 0.500
0.000 0.500 0.500
0.500 0.000 0.500
0.500 0.500 0.000
0.133 0.627 0.627
0.157 0.157 0.617
0.157 0.617 0.157
0.373 0.373 0.867
0.373 0.867 0.373
0.383 0.843 0.843
0.617 0.157 0.157
0.627 0.133 0.627
0.627 0.627 0.133
0.843 0.383 0.843
0.843 0.843 0.383
0.867 0.373 0.373

CaCuSiAu6 (PBE, optimized geometry); DFT total energy = -3.6320 eV/atom; formation energy from raw total energies = -0.17 eV/atom; space-group type = No. 74; Fermi-level density of states = 0.423 states/eV/atom; total magnetic moment = 0.000 μB/f.u.
1.0
-3.575 4.485 5.525
3.575 -4.485 5.525
3.575 4.485 -5.525
Ca Cu Si Au
2 2 2 12
direct
0.461 0.211 0.250
0.539 0.789 0.750
0.000 0.000 0.500
0.000 0.500 0.000
0.000 0.000 0.000
0.500 0.000 0.500
0.132 0.428 0.303
0.132 0.828 0.704
0.170 0.920 0.250
0.251 0.501 0.750
0.375 0.172 0.803
0.375 0.572 0.204
0.625 0.428 0.796
0.625 0.828 0.197
0.749 0.499 0.250
0.830 0.080 0.750
0.868 0.172 0.296
0.868 0.572 0.697

CaCuSi2Au8 (PBE, optimized geometry); DFT total energy = -3.7127 eV/atom; formation energy from raw total energies = -0.12 eV/atom; space-group type = No. 12; Fermi-level density of states = 0.394 states/eV/atom; total magnetic moment = 0.000 μB/f.u.
1.0
4.188 -2.789 0.000
4.188 2.789 0.000
-0.040 0.000 9.920
Ca Cu Si Au
1 1 2 8
direct
0.000 0.000 0.000
0.000 0.000 0.500
0.335 0.335 0.208
0.665 0.665 0.792
0.165 0.665 0.718
0.326 0.326 0.464
0.335 0.835 0.282
0.336 0.336 0.962
0.664 0.664 0.038
0.665 0.165 0.718
0.674 0.674 0.536
0.835 0.335 0.282

Ca2CuSi3Au4 (PBE, optimized geometry); DFT total energy = -4.1921 eV/atom; formation energy from raw total energies = -0.44 eV/atom; space-group type = No. 115; Fermi-level density of states = 0.271 states/eV/atom; total magnetic moment = 0.000 μB/f.u.
1.0
4.376 0.000 0.000
0.000 4.376 0.000
0.000 0.000 10.169
Ca Cu Si Au
2 1 3 4
direct
0.000 0.500 0.246
0.500 0.000 0.754
0.500 0.500 0.000
0.000 0.000 0.000
0.000 0.500 0.633
0.500 0.000 0.367
0.000 0.000 0.500
0.000 0.500 0.871
0.500 0.000 0.129
0.500 0.500 0.500